A plane-wave DFT calculation with GGA-PBE was carried out for a geometry-optimized ZrReAg2 structure.

Geometry as POSCAR:
```
ZrReAg2
1.0
-1.6065 2.4531 4.6528
1.6065 -2.4531 4.6528
1.6065 2.4531 -4.6528
Zr Re Ag
1 1 2
Direct
0.0000 0.0000 0.0000
0.7738 0.2738 0.5000
0.2714 0.7714 0.5000
0.5226 0.5226 0.0000
```

The energy of formation from the pure elements is 39.8 kJ per mole of atoms. Its symmetry is Imm2, No. 44.